V2RuCl: optimized geometry, GGA-PBE.

Calculated values
**N(E_F)**: 1.398 states/eV per atom
**ΔE to the lowest computed polymorph**: 49 meV per atom
**Uncorrected energy**: -6.83 eV per atom
**Raw formation energy**: 0.506 eV per atom

a b c (Å): 4.3263 4.3263 4.3263
angles (deg): 60.00 60.00 60.00
Fractional coordinates of all 4 atoms:
1 V 0.2500 0.2500 0.2500
2 V 0.7500 0.7500 0.7500
3 Ru 0.0000 0.0000 0.0000
4 Cl 0.5000 0.5000 0.5000